Record 1
CoHgIr3 | PBE-GGA | optimized geometry

Summary:
Energy relative to the elements   6.80 eV/f.u.
Energy above the most stable polymorph in this dataset   0 meV/atom

a b c (Å): 4.5084 4.5084 4.5084
angles (deg): 90.00 90.00 90.00
Closest atoms and distances in Å follow each position.
Atoms (fractional coordinates):
Co (0.0000, 0.0000, 0.0000)  6 Ir 2.25
Ir (0.0000, 0.5000, 0.0000)  2 Co 2.25
Ir (0.0000, 0.0000, 0.5000)  2 Co 2.25
Ir (0.5000, 0.0000, 0.0000)  2 Co 2.25
Hg (0.5000, 0.5000, 0.5000)  12 Ir 3.19

Record 2
CdHg3S | PBE-GGA | optimized geometry

Summary:
Energy above the most stable polymorph in this dataset   167 meV/atom

a b c (Å): 5.5190 5.5190 5.5190
angles (deg): 90.00 90.00 90.00
Closest atoms and distances in Å follow each position.
Atoms (fractional coordinates):
Hg (0.5000, 0.0000, 0.0000)  2 Cd 2.76
Hg (0.0000, 0.0000, 0.5000)  2 Cd 2.76
Hg (0.0000, 0.5000, 0.0000)  2 Cd 2.76
S (0.5000, 0.5000, 0.5000)  12 Hg 3.90
Cd (0.0000, 0.0000, 0.0000)  6 Hg 2.76

Record 3
Ca2Zn6GaAu | PBE-GGA | optimized geometry

Summary:
Energy relative to the elements   -1.61 eV/f.u.

a b c (Å): 6.4467 6.4467 12.0944
angles (deg): 74.54 74.54 60.00
Closest atoms and distances in Å follow each position.
Atoms (fractional coordinates):
Ga (0.4197, 0.4197, 0.7409)  6 Zn 2.39-2.46
Ga (0.5803, 0.5803, 0.2591)  6 Zn 2.39-2.46
Au (0.0000, 0.0000, 0.0000)  6 Zn 2.55
Au (0.5000, 0.5000, 0.5000)  2 Ga 2.77, 6 Zn 2.87
Ca (0.3097, 0.3097, 0.0710)  12 Zn 3.47-3.61, 1 Ga 3.80, 3 Au 3.81
Ca (0.6903, 0.6903, 0.9290)  12 Zn 3.47-3.61, 1 Ga 3.80, 3 Au 3.81
Ca (0.8603, 0.8603, 0.4192)  12 Zn 3.08-3.35
Ca (0.1397, 0.1397, 0.5808)  12 Zn 3.08-3.35
Zn (0.8047, 0.2131, 0.1775)  1 Ga 2.39, 1 Au 2.55, 2 Zn 2.63
Zn (0.9546, 0.3497, 0.3460)  1 Ga 2.46, 2 Zn 2.55
Zn (0.6503, 0.6503, 0.6540)  1 Ga 2.46, 2 Zn 2.55
Zn (0.3497, 0.3497, 0.3460)  1 Ga 2.46, 2 Zn 2.55
Zn (0.0454, 0.6503, 0.6540)  1 Ga 2.46, 2 Zn 2.55
Zn (0.3497, 0.9546, 0.3460)  1 Ga 2.46, 2 Zn 2.55
Zn (0.7869, 0.1953, 0.8225)  1 Ga 2.39, 1 Au 2.55, 2 Zn 2.63
Zn (0.6503, 0.0454, 0.6540)  1 Ga 2.46, 2 Zn 2.55
Zn (0.1953, 0.7869, 0.8225)  1 Ga 2.39, 1 Au 2.55, 2 Zn 2.63
Zn (0.8047, 0.8047, 0.1775)  1 Ga 2.39, 1 Au 2.55, 2 Zn 2.63
Zn (0.1953, 0.1953, 0.8225)  1 Ga 2.39, 1 Au 2.55, 2 Zn 2.63
Zn (0.2131, 0.8047, 0.1775)  1 Ga 2.39, 1 Au 2.55, 2 Zn 2.63

Record 4
ReCl2 | PBE-GGA | optimized geometry

Summary:
Energy above the most stable polymorph in this dataset   467 meV/atom

a b c (Å): 3.1242 5.8659 5.9327
angles (deg): 90.00 90.00 90.00
Closest atoms and distances in Å follow each position.
Atoms (fractional coordinates):
Re (0.0000, 0.0000, 0.0000)  6 Cl 2.41-2.45
Re (0.5000, 0.5000, 0.5000)  6 Cl 2.41-2.45
Cl (0.5000, 0.7219, 0.8417)  3 Re 2.41-2.45
Cl (0.0000, 0.2219, 0.6583)  3 Re 2.41-2.45
Cl (0.5000, 0.2781, 0.1583)  3 Re 2.41-2.45
Cl (0.0000, 0.7781, 0.3417)  3 Re 2.41-2.45

Record 5
TiAgSN2 | PBE-GGA | optimized geometry

Summary:
Energy above the most stable polymorph in this dataset   1131 meV/atom

a b c (Å): 4.0045 4.0045 4.8952
angles (deg): 90.00 90.00 90.00
Closest atoms and distances in Å follow each position.
Atoms (fractional coordinates):
N (0.5000, 0.0000, 0.0000)  2 Ag 2.00
N (0.0000, 0.5000, 0.0000)  2 Ag 2.00
Ti (0.5000, 0.5000, 0.5000)  4 S 2.83, 8 N 3.16
S (0.0000, 0.0000, 0.5000)  2 Ag 2.45
Ag (0.0000, 0.0000, 0.0000)  4 N 2.00

Record 6
SrTl3Cr | PBE-GGA | optimized geometry

Summary:
Energy relative to the elements   7.85 eV/f.u.
Energy above the most stable polymorph in this dataset   1423 meV/atom

a b c (Å): 6.1150 6.1150 6.1150
angles (deg): 90.00 90.00 90.00
Closest atoms and distances in Å follow each position.
Atoms (fractional coordinates):
Tl (0.0000, 0.5000, 0.0000)  2 Sr 3.06
Tl (0.0000, 0.0000, 0.5000)  2 Sr 3.06
Tl (0.5000, 0.0000, 0.0000)  2 Sr 3.06
Sr (0.0000, 0.0000, 0.0000)  6 Tl 3.06
Cr (0.5000, 0.5000, 0.5000)  12 Tl 4.32

Record 7
HoTiZnIn | PBE-GGA | optimized geometry

Summary:
Energy relative to the elements   -0.68 eV/f.u.

a b c (Å): 4.9004 4.9004 4.9004
angles (deg): 60.00 60.00 60.00
Closest atoms and distances in Å follow each position.
Atoms (fractional coordinates):
Zn (0.5000, 0.5000, 0.5000)  4 Ti 3.00, 4 Ho 3.00
Ti (0.2500, 0.2500, 0.2500)  4 In 3.00, 4 Zn 3.00
In (0.0000, 0.0000, 0.0000)  4 Ho 3.00, 4 Ti 3.00
Ho (0.7500, 0.7500, 0.7500)  4 Zn 3.00, 4 In 3.00

Record 8
LiCd2Pd8 | PBE-GGA | optimized geometry

Summary:
Energy relative to the elements   -0.90 eV/f.u.
Energy above the most stable polymorph in this dataset   109 meV/atom

a b c (Å): 4.8159 7.0495 7.3220
angles (deg): 61.22 75.33 58.27
Closest atoms and distances in Å follow each position.
Atoms (fractional coordinates):
Pd (0.8474, 0.1085, 0.2217)  5 Pd 2.62-2.90, 2 Cd 2.68-2.80
Pd (0.3114, 0.3993, 0.0000)  1 Li 2.46, 3 Pd 2.56-2.62
Pd (0.5000, 0.1977, 0.6047)  1 Li 2.54, 2 Cd 2.76
Pd (0.1526, 0.6698, 0.2217)  5 Pd 2.62-2.90, 2 Cd 2.68-2.80
Pd (0.5000, 0.8023, 0.3953)  1 Li 2.54, 2 Cd 2.76
Pd (0.6886, 0.6007, 0.0000)  1 Li 2.46, 3 Pd 2.56-2.62
Pd (0.8474, 0.3302, 0.7783)  5 Pd 2.62-2.90, 2 Cd 2.68-2.80
Pd (0.1526, 0.8915, 0.7783)  5 Pd 2.62-2.90, 2 Cd 2.68-2.80
Cd (0.0000, 0.3034, 0.3932)  8 Pd 2.68-2.83
Cd (0.0000, 0.6966, 0.6068)  8 Pd 2.68-2.83
Li (0.5000, 0.0000, 0.0000)  4 Pd 2.46-2.54

Record 9
KCa2Pd2 | PBE-GGA | optimized geometry

Summary:
Energy relative to the elements   -1.91 eV/f.u.

a b c (Å): 8.4578 8.4578 3.7390
angles (deg): 90.00 90.00 90.00
Closest atoms and distances in Å follow each position.
Atoms (fractional coordinates):
Ca (0.1504, 0.6504, 0.5000)  6 Pd 3.03-3.22
Ca (0.3496, 0.1504, 0.5000)  6 Pd 3.03-3.22
Ca (0.6504, 0.8496, 0.5000)  6 Pd 3.03-3.22
Ca (0.8496, 0.3496, 0.5000)  6 Pd 3.03-3.22
Pd (0.8692, 0.6308, 0.0000)  6 Ca 3.03-3.22, 1 Pd 3.13, 2 K 3.31
Pd (0.6308, 0.1308, 0.0000)  6 Ca 3.03-3.22, 1 Pd 3.13, 2 K 3.31
Pd (0.1308, 0.3692, 0.0000)  6 Ca 3.03-3.22, 1 Pd 3.13, 2 K 3.31
Pd (0.3692, 0.8692, 0.0000)  6 Ca 3.03-3.22, 1 Pd 3.13, 2 K 3.31
K (0.5000, 0.5000, 0.0000)  4 Pd 3.31
K (0.0000, 0.0000, 0.0000)  4 Pd 3.31

Record 10
CaBi3W | PBE-GGA | optimized geometry

Summary:
Energy relative to the elements   2.45 eV/f.u.
Energy above the most stable polymorph in this dataset   0 meV/atom

a b c (Å): 5.4908 5.4908 5.4908
angles (deg): 90.00 90.00 90.00
Closest atoms and distances in Å follow each position.
Atoms (fractional coordinates):
Ca (0.5000, 0.5000, 0.5000)  12 Bi 3.88
W (0.0000, 0.0000, 0.0000)  6 Bi 2.75
Bi (0.5000, 0.0000, 0.0000)  2 W 2.75
Bi (0.0000, 0.5000, 0.0000)  2 W 2.75
Bi (0.0000, 0.0000, 0.5000)  2 W 2.75

Record 11
UNiOsRu | PBE-GGA | optimized geometry

Summary:
Energy relative to the elements   -1.11 eV/f.u.

a b c (Å): 3.8086 4.0429 4.0195
angles (deg): 90.00 90.00 90.00
Closest atoms and distances in Å follow each position.
Atoms (fractional coordinates):
Ni (0.5000, 0.0000, 0.5000)  4 Os 2.77, 4 Ru 2.78, 4 U 2.85
Ru (0.0000, 0.5000, 0.5000)  4 U 2.77, 4 Ni 2.78, 4 Os 2.85
Os (0.0000, 0.0000, 0.0000)  4 Ni 2.77, 4 U 2.78, 4 Ru 2.85
U (0.5000, 0.5000, 0.0000)  4 Ru 2.77, 4 Os 2.78, 4 Ni 2.85

Record 12
SrSmSeS | PBE-GGA | optimized geometry

Summary:
Energy   -5.4104 eV/atom

a b c (Å): 4.0986 4.0984 7.7264
angles (deg): 90.00 105.38 120.00
Closest atoms and distances in Å follow each position.
Atoms (fractional coordinates):
Sm (0.4799, 0.1379, 0.6330)  3 S 2.90, 3 Se 3.02
S (0.2980, 0.5470, 0.8603)  3 Sm 2.90, 3 Sr 2.94
Se (0.9767, 0.3864, 0.3782)  3 Sm 3.02, 3 Sr 3.14
Sr (0.1233, 0.9596, 0.0981)  3 S 2.94, 3 Se 3.14

Record 13
LiMnPb | PBE-GGA | optimized geometry

Summary:
Energy relative to the elements   0.56 eV/f.u.

a b c (Å): 4.6427 4.6427 3.1445
angles (deg): 90.00 90.00 120.00
Closest atoms and distances in Å follow each position.
Atoms (fractional coordinates):
Mn (0.6667, 0.3333, 0.3461)  3 Pb 2.88, 3 Li 2.93, 2 Mn 3.14
Li (0.0000, 0.0000, 0.9690)  3 Pb 2.83, 3 Mn 2.93, 2 Li 3.14
Pb (0.3333, 0.6667, 0.6848)  3 Li 2.83, 3 Mn 2.88, 2 Pb 3.14

Record 14
LiPaReO6 | PBE-GGA | optimized geometry

Summary:
Energy   -8.2638 eV/atom

a b c (Å): 5.5400 5.5400 9.2256
angles (deg): 90.00 90.00 120.00
Closest atoms and distances in Å follow each position.
Atoms (fractional coordinates):
O (0.3774, 0.3449, 0.3634)  1 Re 1.94
O (0.9675, 0.6226, 0.3634)  1 Re 1.94
O (0.0325, 0.6551, 0.8634)  1 Re 1.94
O (0.3774, 0.0325, 0.1366)  1 Re 1.94
O (0.6551, 0.0325, 0.3634)  1 Re 1.94
O (0.6226, 0.6551, 0.6366)  1 Re 1.94
O (0.3449, 0.3774, 0.8634)  1 Re 1.94
O (0.6226, 0.9675, 0.8634)  1 Re 1.94
O (0.9675, 0.3449, 0.1366)  1 Re 1.94
O (0.3449, 0.9675, 0.6366)  1 Re 1.94
O (0.0325, 0.3774, 0.6366)  1 Re 1.94
O (0.6551, 0.6226, 0.1366)  1 Re 1.94
Pa (0.3333, 0.6667, 0.2500)  6 O 2.18
Pa (0.6667, 0.3333, 0.7500)  6 O 2.18
Li (0.0000, 0.0000, 0.0000)  6 O 2.37
Li (0.0000, 0.0000, 0.5000)  6 O 2.37
Re (0.6667, 0.3333, 0.2500)  6 O 1.94
Re (0.3333, 0.6667, 0.7500)  6 O 1.94

Record 15
RuPtCl4 | PBE-GGA | optimized geometry

Summary:
Energy   -2.3261 eV/atom

a b c (Å): 5.5873 5.5873 5.5873
angles (deg): 60.00 60.00 60.00
Closest atoms and distances in Å follow each position.
Atoms (fractional coordinates):
Cl (0.8752, 0.3749, 0.3749)  6 Cl 2.79-2.80
Cl (0.3749, 0.3749, 0.8752)  6 Cl 2.79-2.80
Cl (0.3749, 0.8752, 0.3749)  6 Cl 2.79-2.80
Cl (0.3749, 0.3749, 0.3749)  6 Cl 2.79-2.80
Ru (0.0000, 0.0000, 0.0000)  12 Cl 3.28, 4 Pt 3.42
Pt (0.7500, 0.7500, 0.7500)  12 Cl 3.28, 4 Ru 3.42

Record 16
Pm2TlP | PBE-GGA | optimized geometry

Summary:
Energy relative to the elements   -1.95 eV/f.u.
Energy above the most stable polymorph in this dataset   471 meV/atom

a b c (Å): 5.2688 5.2688 5.2688
angles (deg): 60.00 60.00 60.00
Closest atoms and distances in Å follow each position.
Atoms (fractional coordinates):
P (0.0000, 0.0000, 0.0000)  8 Pm 3.23
Pm (0.2500, 0.2500, 0.2500)  4 Tl 3.23, 4 P 3.23
Pm (0.7500, 0.7500, 0.7500)  4 Tl 3.23, 4 P 3.23
Tl (0.5000, 0.5000, 0.5000)  8 Pm 3.23

Record 17
PuPaGa3 | PBE-GGA | optimized geometry

Summary:
Energy relative to the elements   -1.29 eV/f.u.

a b c (Å): 5.6997 8.1337 7.6974
angles (deg): 38.79 116.24 108.32
Closest atoms and distances in Å follow each position.
Atoms (fractional coordinates):
Pa (0.2430, 0.1715, 0.1041)  2 Pu 2.72-2.81, 2 Ga 2.97-3.02
Pa (0.7570, 0.8285, 0.8959)  2 Pu 2.72-2.81, 2 Ga 2.97-3.02
Pu (0.5178, 0.7019, 0.6070)  2 Pa 2.72-2.81, 2 Ga 2.99-3.02
Pu (0.4822, 0.2981, 0.3930)  2 Pa 2.72-2.81, 2 Ga 2.99-3.02
Ga (0.8594, 0.2314, 0.2624)  3 Ga 2.69-2.71
Ga (0.8949, 0.6641, 0.4438)  3 Ga 2.61-2.86
Ga (0.6609, 0.1851, 0.9118)  3 Ga 2.57-2.86
Ga (0.1051, 0.3359, 0.5562)  3 Ga 2.61-2.86
Ga (0.3391, 0.8149, 0.0882)  3 Ga 2.57-2.86
Ga (0.1406, 0.7686, 0.7376)  3 Ga 2.69-2.71

Record 18
PmDy2CdHg4 | PBE-GGA | optimized geometry

Summary:
Energy relative to the elements   -3.33 eV/f.u.

a b c (Å): 5.1408 5.1408 9.3686
angles (deg): 74.08 74.08 60.00
Closest atoms and distances in Å follow each position.
Atoms (fractional coordinates):
Dy (0.2408, 0.2408, 0.2775)  7 Hg 3.08-3.27
Dy (0.7592, 0.7592, 0.7225)  7 Hg 3.08-3.27
Hg (0.6255, 0.6255, 0.1236)  3 Pm 3.16, 3 Dy 3.27, 1 Cd 3.34
Hg (0.3745, 0.3745, 0.8764)  3 Pm 3.16, 3 Dy 3.27, 1 Cd 3.34
Hg (0.8765, 0.8765, 0.3704)  4 Dy 3.08-3.13, 3 Cd 3.18, 1 Pm 3.29
Hg (0.1235, 0.1235, 0.6296)  4 Dy 3.08-3.13, 3 Cd 3.18, 1 Pm 3.29
Pm (0.0000, 0.0000, 0.0000)  8 Hg 3.16-3.29
Cd (0.5000, 0.5000, 0.5000)  8 Hg 3.18-3.34

Record 19
Cu2AgCl | PBE-GGA | optimized geometry

Summary:
Energy above the most stable polymorph in this dataset   306 meV/atom

a b c (Å): 5.2828 5.2828 5.2828
angles (deg): 147.57 110.96 78.35
Closest atoms and distances in Å follow each position.
Atoms (fractional coordinates):
Ag (0.7500, 0.2500, 0.5000)  4 Cu 2.64, 2 Ag 2.95
Cl (0.2500, 0.7500, 0.5000)  4 Cu 2.41
Cu (0.0170, 0.0170, 0.0000)  2 Cl 2.41, 2 Ag 2.64
Cu (0.4830, 0.4830, 0.0000)  2 Cl 2.41, 2 Ag 2.64

Record 20
Y3Zn4Pd4 | PBE-GGA | optimized geometry

Summary:
Energy relative to the elements   -7.12 eV/f.u.
Energy above the most stable polymorph in this dataset   45 meV/atom

a b c (Å): 3.5762 4.3227 14.1514
angles (deg): 80.98 82.63 89.95
Closest atoms and distances in Å follow each position.
Atoms (fractional coordinates):
Pd (0.3128, 0.8124, 0.3753)  5 Zn 2.55-2.66
Pd (0.5511, 0.5482, 0.9013)  2 Zn 2.51, 1 Pd 2.74
Pd (0.6872, 0.1877, 0.6247)  5 Zn 2.55-2.66
Pd (0.4490, 0.4518, 0.0987)  2 Zn 2.51, 1 Pd 2.74
Zn (0.7430, 0.7442, 0.5132)  4 Pd 2.62-2.66, 4 Zn 2.82-2.84
Zn (0.2571, 0.2559, 0.4868)  4 Pd 2.62-2.66, 4 Zn 2.82-2.84
Zn (0.5954, 0.0955, 0.8087)  3 Pd 2.51-2.55
Zn (0.4046, 0.9045, 0.1913)  3 Pd 2.51-2.55
Y (0.8555, 0.3553, 0.2891)  6 Pd 3.04-3.19, 6 Zn 3.11-3.28
Y (0.0000, 0.0000, 0.0000)  8 Pd 3.11-3.13, 4 Zn 3.19-3.20
Y (0.1445, 0.6447, 0.7109)  6 Pd 3.04-3.19, 6 Zn 3.11-3.28